# Rb2UCuO6

Rb2UCuO6 after structural relaxation (PBE, the Alexandria database).

abc: 5.6282 5.6282 6.6073
angles: 115.20 115.20 90.00
With the nearest neighbours (Å) after each atom.
Element x y z (fractional)
Rb (0.2496, 0.7504, 0.0000)  4 O 2.90-2.91
Rb (0.7504, 0.2496, 0.0000)  4 O 2.90-2.91
U (0.0000, 0.0000, 0.5000)  6 O 1.92-2.14
Cu (0.5000, 0.5000, 0.5000)  4 O 1.84
O (0.1826, 0.1826, 0.8635)  1 U 1.92
O (0.2679, 0.2679, 0.4980)  1 Cu 1.84
O (0.2689, 0.7311, 0.5000)  1 Cu 1.84
O (0.7311, 0.2689, 0.5000)  1 Cu 1.84
O (0.7321, 0.7321, 0.5020)  1 Cu 1.84
O (0.8174, 0.8174, 0.1365)  1 U 1.92

Output
* DOS(E_F): 6.45 states/eV per cell
* calculated density: 5649 kg/m³
* energy relative to the elements, uncorrected: -18.658 eV per formula unit
* total moment: 0.92 μB/cell